A plane-wave DFT calculation with GGA-PBEsol was carried out for CaCoMo3 after structural relaxation.

a = 4.4225 Å, b = 4.4225 Å, c = 4.4225 Å
α = 90.00°, β = 90.00°, γ = 90.00°
Last column: nearest neighbours and their distance in Å.
Fractional coordinates of all 5 atoms:
Mo 0.0000 0.5000 0.0000  2 Ca 2.21
Mo 0.5000 0.0000 0.0000  2 Ca 2.21
Mo 0.0000 0.0000 0.5000  2 Ca 2.21
Co 0.5000 0.5000 0.5000  12 Mo 3.13
Ca 0.0000 0.0000 0.0000  6 Mo 2.21

The volume is 17.299 Å³/atom. For the final energy, the calculation gives -6.118 eV/atom. The calculated formation energy is 2.9169 eV per atom. For the theoretical density, the calculation gives 7.43 g/cm³. The symmetry is No. 221. The magnetic moment is 1.6 Bohr magnetons per cell.

=====

A plane-wave DFT calculation with GGA-PBEsol was carried out for RbHf3Re after structural relaxation.

a = 4.7739 Å, b = 4.7739 Å, c = 4.7739 Å
α = 90.00°, β = 90.00°, γ = 90.00°
Last column: nearest neighbours and their distance in Å.
Fractional coordinates of all 5 atoms:
Hf 0.5000 0.0000 0.0000  2 Rb 2.39
Hf 0.0000 0.0000 0.5000  2 Rb 2.39
Hf 0.0000 0.5000 0.0000  2 Rb 2.39
Re 0.5000 0.5000 0.5000  12 Hf 3.38
Rb 0.0000 0.0000 0.0000  6 Hf 2.39

The volume is 21.759 Å³/atom. For the final energy, the calculation gives -6.478 eV/atom. The calculated formation energy is 2.6957 eV per atom. For the theoretical density, the calculation gives 12.32 g/cm³. The symmetry is No. 221. The magnetic moment is 0.1 Bohr magnetons per cell.

=====

A plane-wave DFT calculation with GGA-PBEsol was carried out for Sr3TaSb after structural relaxation.

a = 6.1013 Å, b = 6.1013 Å, c = 6.1013 Å
α = 90.00°, β = 90.00°, γ = 90.00°
Last column: nearest neighbours and their distance in Å.
Fractional coordinates of all 5 atoms:
Sb 0.0000 0.0000 0.0000  6 Sr 3.05
Ta 0.5000 0.5000 0.5000  12 Sr 4.31
Sr 0.0000 0.5000 0.0000  2 Sb 3.05
Sr 0.0000 0.0000 0.5000  2 Sb 3.05
Sr 0.5000 0.0000 0.0000  2 Sb 3.05

The volume is 45.425 Å³/atom. For the final energy, the calculation gives -3.758 eV/atom. For the theoretical density, the calculation gives 4.13 g/cm³. The symmetry is No. 221. The magnetic moment is 5.8 Bohr magnetons per cell.

=====

A plane-wave DFT calculation with GGA-PBEsol was carried out for Nb3GeTe after structural relaxation.

a = 4.9676 Å, b = 4.9676 Å, c = 4.9676 Å
α = 90.00°, β = 90.00°, γ = 90.00°
Last column: nearest neighbours and their distance in Å.
Fractional coordinates of all 5 atoms:
Nb 0.5000 0.0000 0.0000  2 Te 2.48
Nb 0.0000 0.5000 0.0000  2 Te 2.48
Nb 0.0000 0.0000 0.5000  2 Te 2.48
Ge 0.5000 0.5000 0.5000  12 Nb 3.51
Te 0.0000 0.0000 0.0000  6 Nb 2.48

The volume is 24.517 Å³/atom. For the final energy, the calculation gives -6.675 eV/atom. For the theoretical density, the calculation gives 6.49 g/cm³. The symmetry is No. 221. The magnetic moment is 0.0 Bohr magnetons per cell.

=====

A plane-wave DFT calculation with GGA-PBEsol was carried out for RbPIrS2 after structural relaxation.

a = 4.3873 Å, b = 5.0071 Å, c = 5.0071 Å
α = 90.00°, β = 90.00°, γ = 90.00°
Last column: nearest neighbours and their distance in Å.
Fractional coordinates of all 5 atoms:
P 0.5000 0.0000 0.0000  2 Ir 2.19
S 0.0000 0.0000 0.5000  2 Ir 2.50
S 0.0000 0.5000 0.0000  2 Ir 2.50
Ir 0.0000 0.0000 0.0000  2 P 2.19
Rb 0.5000 0.5000 0.5000  8 S 3.33, 4 P 3.54

The volume is 21.999 Å³/atom. For the final energy, the calculation gives -5.036 eV/atom. For the theoretical density, the calculation gives 5.63 g/cm³. The symmetry is No. 123. The magnetic moment is 0.8 Bohr magnetons per cell.

=====

A plane-wave DFT calculation with GGA-PBEsol was carried out for Si2TeIr after structural relaxation.

a = 3.5645 Å, b = 3.5645 Å, c = 6.9404 Å
α = 75.12°, β = 75.12°, γ = 60.00°
Last column: nearest neighbours and their distance in Å.
Fractional coordinates of all 4 atoms:
Si 0.2681 0.2681 0.1957  3 Ir 2.43
Si 0.7319 0.7319 0.8043  3 Ir 2.43
Te 0.5000 0.5000 0.5000  6 Si 2.88
Ir 0.0000 0.0000 0.0000  6 Si 2.43

The volume is 18.234 Å³/atom. For the final energy, the calculation gives -6.211 eV/atom. For the theoretical density, the calculation gives 8.56 g/cm³. The symmetry is No. 166. The magnetic moment is 0.0 Bohr magnetons per cell.

=====

A plane-wave DFT calculation with GGA-PBEsol was carried out for TcBCl2 after structural relaxation.

a = 2.8905 Å, b = 2.8905 Å, c = 8.8618 Å
α = 80.61°, β = 80.61°, γ = 60.00°
Last column: nearest neighbours and their distance in Å.
Fractional coordinates of all 4 atoms:
B 0.0000 0.0000 0.0000  2 Cl 1.69
Tc 0.5000 0.5000 0.5000  6 Tc 2.89, 6 Cl 3.14
Cl 0.0648 0.0648 0.8057  1 B 1.69
Cl 0.9352 0.9352 0.1943  1 B 1.69

The volume is 15.744 Å³/atom. For the final energy, the calculation gives -4.492 eV/atom. For the theoretical density, the calculation gives 4.74 g/cm³. The symmetry is No. 166. The magnetic moment is 1.3 Bohr magnetons per cell.

=====

A plane-wave DFT calculation with GGA-PBEsol was carried out for ZnInW after structural relaxation.

a = 4.4325 Å, b = 4.4325 Å, c = 4.4325 Å
α = 60.00°, β = 60.00°, γ = 60.00°
Last column: nearest neighbours and their distance in Å.
Fractional coordinates of all 3 atoms:
In 0.5000 0.5000 0.5000  4 W 2.71
Zn 0.0000 0.0000 0.0000  4 W 2.71
W 0.2500 0.2500 0.2500  4 In 2.71, 4 Zn 2.71

The volume is 20.527 Å³/atom. For the final energy, the calculation gives -4.961 eV/atom. The calculated formation energy is 1.1633 eV per atom. For the theoretical density, the calculation gives 9.82 g/cm³. The symmetry is No. 216. The magnetic moment is 1.4 Bohr magnetons per cell. The calculation puts the excess energy over the best structure of this formula in the dataset at 1.90 eV/f.u.

=====

The highest theoretical density belongs to which entry? RbHf3Re

=====

Which formula does entry 1 have? CaCoMo3

=====

Which value of final energy does entry 5 give? -5.036 eV/atom